Compound: Tb5SmSn4
Source: the Alexandria database
Functional: PBE
Structure: optimized geometry

a b c (Å): 4.428 8.110 9.233
angles (deg): 101.72 103.87 90.00
Fractional positions:
Tb (0.796, 0.697, 0.592)
Tb (0.860, 0.276, 0.721)
Tb (0.140, 0.724, 0.279)
Tb (0.500, 0.500, 0.000)
Tb (0.204, 0.303, 0.408)
Sm (0.500, 0.000, 0.000)
Sn (0.311, 0.990, 0.622)
Sn (0.965, 0.723, 0.930)
Sn (0.689, 0.010, 0.378)
Sn (0.035, 0.277, 0.070)

---

Compound: Li2TlPd2
Source: the Alexandria database
Functional: PBE
Structure: optimized geometry

a b c (Å): 4.875 4.875 6.406
angles (deg): 130.72 130.72 74.35
Fractional positions:
Li (0.500, 0.500, 0.191)
Li (0.500, 0.500, 0.809)
Tl (0.000, 0.000, 0.000)
Pd (0.223, 0.777, 0.500)
Pd (0.777, 0.223, 0.500)

---

Compound: CaSm6Y2Ho3
Source: the Alexandria database
Functional: PBE
Structure: optimized geometry

a b c (Å): 6.260 6.260 11.884
angles (deg): 95.00 95.00 119.97
Fractional positions:
Ca (0.000, 0.000, 0.000)
Sm (0.914, 0.575, 0.746)
Sm (0.746, 0.746, 0.255)
Sm (0.086, 0.425, 0.254)
Sm (0.575, 0.914, 0.746)
Sm (0.254, 0.254, 0.745)
Sm (0.425, 0.086, 0.254)
Y (0.333, 0.667, 0.000)
Y (0.667, 0.333, 0.000)
Ho (0.166, 0.834, 0.500)
Ho (0.834, 0.166, 0.500)
Ho (0.500, 0.500, 0.500)

---

Compound: Mg3CuAg2
Source: the Alexandria database
Functional: PBE
Structure: optimized geometry

a b c (Å): 3.289 3.289 9.782
angles (deg): 90.00 90.00 90.00
Fractional positions:
Mg (0.000, 0.000, 0.000)
Mg (0.000, 0.000, 0.653)
Mg (0.000, 0.000, 0.347)
Cu (0.500, 0.500, 0.500)
Ag (0.500, 0.500, 0.826)
Ag (0.500, 0.500, 0.174)

---

Compound: Ta2SbOs2
Source: the Alexandria database
Functional: PBE
Structure: optimized geometry

a b c (Å): 4.295 4.295 6.280
angles (deg): 70.01 70.01 90.00
Fractional positions:
Sb (0.000, 0.000, 0.000)
Os (0.381, 0.381, 0.238)
Os (0.619, 0.619, 0.762)
Ta (0.750, 0.250, 0.500)
Ta (0.250, 0.750, 0.500)

Values from the calculation:
raw formation energy = 0.100 eV/atom

---

Compound: BaZrMnP2
Source: the Alexandria database
Functional: PBE
Structure: optimized geometry

a b c (Å): 4.645 5.082 4.645
angles (deg): 90.00 90.00 90.00
Fractional positions:
P (0.000, 0.000, 0.500)
P (0.500, 0.000, 0.000)
Mn (0.000, 0.000, 0.000)
Ba (0.000, 0.500, 0.000)
Zr (0.500, 0.500, 0.500)

---

Compound: LiTmBiPd
Source: the Alexandria database
Functional: PBE
Structure: optimized geometry

a b c (Å): 4.964 4.964 4.964
angles (deg): 60.00 60.00 60.00
Fractional positions:
Tm (0.500, 0.500, 0.500)
Bi (0.750, 0.750, 0.750)
Pd (0.250, 0.250, 0.250)
Li (0.000, 0.000, 0.000)

---

Compound: Mg2NpPaO8
Source: the Alexandria database
Functional: PBE
Structure: optimized geometry

a b c (Å): 4.732 4.735 7.011
angles (deg): 90.00 90.00 90.20
Fractional positions:
Mg (0.500, 0.500, 0.742)
Mg (0.500, 0.500, 0.258)
Np (0.000, 0.000, 0.000)
Pa (0.000, 0.000, 0.500)
O (0.192, 0.807, 0.232)
O (0.710, 0.710, 0.000)
O (0.808, 0.193, 0.232)
O (0.808, 0.193, 0.768)
O (0.290, 0.290, 0.000)
O (0.192, 0.807, 0.768)
O (0.695, 0.696, 0.500)
O (0.305, 0.304, 0.500)

Values from the calculation:
raw formation energy = -2.887 eV/atom

---

no.,VASP energy (eV/atom)
1,-4.805
2,-3.624
3,-4.711
4,-2.618
5,-9.957
6,-5.529
7,-4.453
8,-8.328